No. 1
Computed, not measured: a relaxed TiGePtC2 crystal at the PBE-GGA level of DFT.

Output
Final energy ... -6.069 eV/atom
Calculated formation energy ... 1.3316 eV per atom
DOS at the Fermi energy ... 0.755 states/eV per atom

```
data_TiGePtC2
_cell_length_a 3.8611
_cell_length_b 3.8611
_cell_length_c 5.5395
_cell_angle_alpha 90.00
_cell_angle_beta 90.00
_cell_angle_gamma 90.00
_space_group_name_H-M_alt 'P 4/m m m'
_space_group_IT_number 123
_space_group_name_Hall '-P 4 2'
loop_
_atom_site_label
_atom_site_type_symbol
_atom_site_fract_x
_atom_site_fract_y
_atom_site_fract_z
Ti1 Ti 0.0000 0.0000 0.0000
Ge1 Ge 0.5000 0.5000 0.0000
Pt1 Pt 0.0000 0.0000 0.5000
C1 C 0.0000 0.5000 0.5000
```

No. 2
Computed, not measured: a relaxed Y2GePtC crystal at the PBE-GGA level of DFT.

Output
Final energy ... -6.618 eV/atom
Calculated formation energy ... -0.0561 eV per atom
DOS at the Fermi energy ... 0.933 states/eV per atom

```
data_Y2GePtC
_cell_length_a 5.5592
_cell_length_b 5.5592
_cell_length_c 3.7977
_cell_angle_alpha 90.00
_cell_angle_beta 90.00
_cell_angle_gamma 90.00
_space_group_name_H-M_alt 'P 4/m m m'
_space_group_IT_number 123
_space_group_name_Hall '-P 4 2'
loop_
_atom_site_label
_atom_site_type_symbol
_atom_site_fract_x
_atom_site_fract_y
_atom_site_fract_z
Y1 Y 0.0000 0.5000 0.0000
Ge1 Ge 0.0000 0.0000 0.5000
Pt1 Pt 0.5000 0.5000 0.0000
C1 C 0.5000 0.5000 0.5000
```